## Mo2Os (PBE)

Data for a geometry-optimized Mo2Os structure.

a b c (Å): 2.7750 2.7750 6.9610
angles (deg): 90.00 90.00 120.00
Closest atoms and distances in Å follow each position.
Space group P-3m1 (No. 164)
Inequivalent atoms, fractional coordinates:
Mo 0.3333 0.6667 0.1775 (multiplicity 2)  3 Os 2.76, 9 Mo 2.78-2.94
Os 0.0000 0.0000 0.5000 (multiplicity 1)  6 Mo 2.76, 6 Os 2.78

Properties
formation enthalpy at 0 K	193.5	meV per atom
DOS at the Fermi energy	2.6	states/eV/f.u.
crystal system	trigonal
ΔE to the lowest computed polymorph	0.655	eV/f.u.

## Mo2Os (PBE)

Data for a geometry-optimized Mo2Os structure.

a b c (Å): 6.1621 6.1621 5.1247
angles (deg): 90.00 90.00 90.00
Closest atoms and distances in Å follow each position.
Space group I4/mcm (No. 140)
Inequivalent atoms, fractional coordinates:
Mo 0.1488 0.3512 0.0000 (multiplicity 8)  1 Mo 2.59, 4 Os 2.68
Os 0.0000 0.0000 0.2500 (multiplicity 4)  2 Os 2.56, 8 Mo 2.68

Properties
formation enthalpy at 0 K	185.8	meV per atom
DOS at the Fermi energy	2.9	states/eV/f.u.
crystal system	tetragonal
ΔE to the lowest computed polymorph	0.631	eV/f.u.

## Mo2Os (PBE)

Data for a geometry-optimized Mo2Os structure.

a b c (Å): 2.7384 4.1111 17.9078
angles (deg): 90.00 90.00 90.00
Closest atoms and distances in Å follow each position.
Space group Imma (No. 74)
Inequivalent atoms, fractional coordinates:
Mo 0.0000 0.2500 0.0391 (multiplicity 4)  5 Mo 2.49-2.74
Mo 0.0000 0.2500 0.1828 (multiplicity 4)  5 Mo 2.57-2.77, 4 Os 2.78
Os 0.0000 0.2500 0.6122 (multiplicity 4)  2 Os 2.74, 10 Mo 2.78-3.03

Properties
formation enthalpy at 0 K	573.7	meV per atom
DOS at the Fermi energy	3.0	states/eV/f.u.
crystal system	orthorhombic
ΔE to the lowest computed polymorph	1.795	eV/f.u.

## Mo2Os (PBE)

Data for a geometry-optimized Mo2Os structure.

a b c (Å): 4.4479 4.4479 5.4670
angles (deg): 90.00 90.00 120.00
Closest atoms and distances in Å follow each position.
Space group P6_3/mmc (No. 194)
Inequivalent atoms, fractional coordinates:
Mo 0.0000 0.0000 0.0000 (multiplicity 2)  8 Mo 2.73-2.91, 6 Os 2.91
Mo 0.3333 0.6667 0.2500 (multiplicity 2)  5 Os 2.57-2.73
Os 0.3333 0.6667 0.7500 (multiplicity 2)  5 Mo 2.57-2.73

Properties
formation enthalpy at 0 K	226.8	meV per atom
DOS at the Fermi energy	3.6	states/eV/f.u.
crystal system	hexagonal
ΔE to the lowest computed polymorph	0.755	eV/f.u.

## Mo5Os (PBE)

Data for a geometry-optimized Mo5Os structure.

a b c (Å): 5.0991 5.0991 4.5180
angles (deg): 90.00 90.00 120.00
Closest atoms and distances in Å follow each position.
Space group P6/mmm (No. 191)
Inequivalent atoms, fractional coordinates:
Mo 0.0000 0.5000 0.0000 (multiplicity 3)  8 Mo 2.55-2.70
Mo 0.3333 0.6667 0.5000 (multiplicity 2)  9 Mo 2.70-2.94, 3 Os 2.94
Os 0.0000 0.0000 0.5000 (multiplicity 1)  6 Mo 2.94

Properties
formation enthalpy at 0 K	729.6	meV per atom
DOS at the Fermi energy	4.6	states/eV/f.u.
crystal system	hexagonal
ΔE to the lowest computed polymorph	3.868	eV/f.u.

## Mo5Os3 (PBE)

Data for a geometry-optimized Mo5Os3 structure.

a b c (Å): 7.8642 7.8917 3.9524
angles (deg): 90.00 90.00 90.00
Closest atoms and distances in Å follow each position.
Space group Cmmm (No. 65)
Inequivalent atoms, fractional coordinates:
Mo 0.0000 0.0000 0.0000 (multiplicity 2)  8 Mo 2.79-2.84, 4 Os 2.79
Mo 0.0000 0.2578 0.5000 (multiplicity 4)  6 Os 2.74-2.83, 6 Mo 2.79-2.84
Mo 0.2500 0.2500 0.0000 (multiplicity 4)  6 Mo 2.79, 6 Os 2.79
Os 0.0000 0.5000 0.0000 (multiplicity 2)  8 Mo 2.75-2.79, 4 Os 2.79
Os 0.2498 0.0000 0.5000 (multiplicity 4)  10 Mo 2.74-2.83, 2 Os 2.79

Properties
formation enthalpy at 0 K	130.8	meV per atom
DOS at the Fermi energy	7.1	states/eV/f.u.
crystal system	orthorhombic
ΔE to the lowest computed polymorph	0.000	eV/f.u.

no.,uncorrected energy (eV/atom)
1,-10.770
2,-10.778
3,-10.390
4,-10.737
5,-10.168
6,-10.850